The following is a PBE-GGA calculation of crystalline InAs2PtRh at its relaxed geometry, from Alexandria.

Unit cell a=4.7246 b=4.7246 c=5.2826 alpha=90.00 beta=90.00 gamma=90.00
With the nearest neighbours (Å) after each atom.
Space group P4/mmm (No. 123)
Symmetry-distinct sites (fractional):
In  0.0000  0.0000  0.0000 [1 per cell]  4 Rh 3.34, 8 As 3.54
As  0.0000  0.5000  0.5000 [2 per cell]  2 Pt 2.36
Pt  0.5000  0.5000  0.5000 [1 per cell]  4 As 2.36, 2 Rh 2.64
Rh  0.5000  0.5000  0.0000 [1 per cell]  2 Pt 2.64

Values from the calculation:
Uncorrected energy: -4.487 eV per atom
ΔH_f (0 K): 0.60 eV per atom



The following is a PBE-GGA calculation of crystalline In2CuRu2 at its relaxed geometry, from Alexandria.

Unit cell a=6.4765 b=6.4765 c=4.1728 alpha=90.00 beta=90.00 gamma=90.00
With the nearest neighbours (Å) after each atom.
Space group P4/mbm (No. 127)
Symmetry-distinct sites (fractional):
In  0.1734  0.3266  0.0000 [4 per cell]  6 Ru 2.74-2.89
Cu  0.0000  0.0000  0.5000 [2 per cell]  4 Ru 2.53
Ru  0.1335  0.6335  0.5000 [4 per cell]  1 Ru 2.45, 2 Cu 2.53, 2 In 2.74

Values from the calculation:
Uncorrected energy: -5.495 eV per atom
ΔH_f (0 K): 0.13 eV per atom



The following is a PBE-GGA calculation of crystalline NpP2IrOs at its relaxed geometry, from Alexandria.

Unit cell a=3.9852 b=3.9852 c=9.9966 alpha=90.00 beta=90.00 gamma=90.00
With the nearest neighbours (Å) after each atom.
Space group I-4m2 (No. 119)
Symmetry-distinct sites (fractional):
Np  0.0000  0.0000  0.0000 [2 per cell]  8 P 3.05, 4 Os 3.20, 4 Ir 3.20
P  0.0000  0.0000  0.3829 [4 per cell]  1 P 2.34, 2 Os 2.39, 2 Ir 2.39
Ir  0.0000  0.5000  0.2500 [2 per cell]  4 P 2.39
Os  0.0000  0.5000  0.7500 [2 per cell]  4 P 2.39

Values from the calculation:
Uncorrected energy: -9.297 eV per atom
ΔH_f (0 K): -0.53 eV per atom



The following is a PBE-GGA calculation of crystalline TcW2Cl at its relaxed geometry, from Alexandria.

Unit cell a=2.9650 b=2.9650 c=7.1286 alpha=90.00 beta=90.00 gamma=90.00
With the nearest neighbours (Å) after each atom.
Space group P4mm (No. 99)
Symmetry-distinct sites (fractional):
Tc  0.0000  0.0000  0.0000 [1 per cell]  4 W 2.65, 4 Cl 2.84, 4 Tc 2.97
W  0.0000  0.0000  0.4878 [1 per cell]  4 Cl 2.72, 8 W 2.80-2.97
W  0.5000  0.5000  0.2283 [1 per cell]  4 Tc 2.65, 8 W 2.80-2.97
Cl  0.5000  0.5000  0.7319 [1 per cell]  4 W 2.72, 4 Tc 2.84, 4 Cl 2.97

Values from the calculation:
Uncorrected energy: -9.063 eV per atom



The following is a PBE-GGA calculation of crystalline Ca2EuMg at its relaxed geometry, from Alexandria.

Unit cell a=4.1620 b=4.1620 c=8.5608 alpha=90.00 beta=90.00 gamma=90.00
With the nearest neighbours (Å) after each atom.
Space group P4/mmm (No. 123)
Symmetry-distinct sites (fractional):
Ca  0.0000  0.0000  0.2128 [2 per cell]  4 Mg 3.46, 1 Ca 3.64, 4 Eu 3.83
Eu  0.5000  0.5000  0.5000 [1 per cell]  8 Ca 3.83, 4 Eu 4.16, 2 Mg 4.28
Mg  0.5000  0.5000  0.0000 [1 per cell]  8 Ca 3.46

Values from the calculation:
Uncorrected energy: -3.969 eV per atom
ΔH_f (0 K): 0.00 eV per atom



The following is a PBE-GGA calculation of crystalline Er12Sn3O5 at its relaxed geometry, from Alexandria.

Unit cell a=15.4245 b=15.4245 c=15.4245 alpha=90.00 beta=90.00 gamma=90.00
With the nearest neighbours (Å) after each atom.
Space group Ia-3d (No. 230)
Symmetry-distinct sites (fractional):
Er  0.0409  0.0486  0.6476 [96 per cell]  1 O 2.18
Sn  0.0000  0.2500  0.1250 [24 per cell]  8 Er 3.10-3.19
O  0.0000  0.0000  0.0000 [16 per cell]  6 Er 2.48
O  0.0000  0.2500  0.3750 [24 per cell]  4 Er 2.18

Values from the calculation:
Uncorrected energy: -6.211 eV per atom



The following is a PBE-GGA calculation of crystalline KNbAs2 at its relaxed geometry, from Alexandria.

Unit cell a=3.6322 b=3.6322 c=24.8215 alpha=90.00 beta=90.00 gamma=120.00
With the nearest neighbours (Å) after each atom.
Space group R-3m (No. 166, hexagonal axes)
Symmetry-distinct sites (fractional):
K  0.0000  0.0000  0.0000 [3 per cell]  6 As 3.27, 6 K 3.63
Nb  0.0000  0.0000  0.5000 [3 per cell]  6 As 2.66
As  0.0000  0.0000  0.2325 [6 per cell]  3 Nb 2.66

Values from the calculation:
Uncorrected energy: -5.535 eV per atom
ΔH_f (0 K): -0.42 eV per atom



The following is a PBE-GGA calculation of crystalline PmY10Th4 at its relaxed geometry, from Alexandria.

Unit cell a=9.7202 b=9.7202 c=10.8159 alpha=90.00 beta=90.00 gamma=90.00
With the nearest neighbours (Å) after each atom.
Space group I4/m (No. 87)
Symmetry-distinct sites (fractional):
Pm  0.0000  0.0000  0.0000 [2 per cell]  4 Th 3.35
Y  0.0000  0.5000  0.2500 [4 per cell]  4 Th 3.19, 4 Y 3.19
Y  0.1168  0.7887  0.3427 [16 per cell]  5 Y 3.19-3.40, 1 Th 3.57
Th  0.0641  0.6614  0.0000 [8 per cell]  2 Y 3.19, 1 Pm 3.35, 1 Th 3.38

Values from the calculation:
Uncorrected energy: -6.218 eV per atom
ΔH_f (0 K): 0.39 eV per atom



The following is a PBE-GGA calculation of crystalline KBiB3 at its relaxed geometry, from Alexandria.

Unit cell a=4.8515 b=4.8515 c=4.8515 alpha=90.00 beta=90.00 gamma=90.00
With the nearest neighbours (Å) after each atom.
Space group Pm-3m (No. 221)
Symmetry-distinct sites (fractional):
K  0.0000  0.0000  0.0000 [1 per cell]  6 B 2.43
Bi  0.5000  0.5000  0.5000 [1 per cell]  12 B 3.43
B  0.0000  0.0000  0.5000 [3 per cell]  2 K 2.43

Values from the calculation:
Uncorrected energy: -2.042 eV per atom
ΔH_f (0 K): 2.96 eV per atom



The following is a PBE-GGA calculation of crystalline SrPdO3 at its relaxed geometry, from Alexandria.

Unit cell a=10.4454 b=10.4454 c=10.4454 alpha=90.00 beta=90.00 gamma=90.00
With the nearest neighbours (Å) after each atom.
Space group Fd-3m (No. 227, origin choice 2)
Symmetry-distinct sites (fractional):
Sr  0.0000  0.0000  0.0000 [16 per cell]  6 O 2.52
Pd  0.0000  0.0000  0.5000 [16 per cell]  6 O 2.05
O  0.0862  0.3750  0.8750 [48 per cell]  2 Pd 2.05

Values from the calculation:
Uncorrected energy: -5.548 eV per atom



The following is a PBE-GGA calculation of crystalline LaMg2Ir at its relaxed geometry, from Alexandria.

Unit cell a=4.4860 b=4.4860 c=8.4568 alpha=90.00 beta=90.00 gamma=90.00
With the nearest neighbours (Å) after each atom.
Space group I4/mmm (No. 139)
Symmetry-distinct sites (fractional):
La  0.0000  0.0000  0.0000 [2 per cell]  8 Mg 3.08, 4 Ir 3.17
Mg  0.0000  0.5000  0.2500 [4 per cell]  4 La 3.08, 4 Ir 3.08, 4 Mg 3.17
Ir  0.0000  0.0000  0.5000 [2 per cell]  8 Mg 3.08, 4 La 3.17

Values from the calculation:
Uncorrected energy: -4.427 eV per atom
ΔH_f (0 K): -0.18 eV per atom



The following is a PBE-GGA calculation of crystalline Yb3SbO7 at its relaxed geometry, from Alexandria.

Unit cell a=7.3965 b=10.6057 c=7.5492 alpha=90.00 beta=90.00 gamma=90.00
With the nearest neighbours (Å) after each atom.
Space group Cmcm (No. 63)
Symmetry-distinct sites (fractional):
Yb  0.0000  0.0000  0.0000 [4 per cell]  8 O 2.33-2.60
Yb  0.2373  0.2661  0.2500 [8 per cell]  7 O 2.22-2.48
Sb  0.0000  0.5000  0.0000 [4 per cell]  6 O 1.99-2.02
O  0.0000  0.1287  0.7500 [4 per cell]  4 Yb 2.24-2.33
O  0.0000  0.1380  0.2500 [4 per cell]  4 Yb 2.22-2.39
O  0.0000  0.4308  0.2500 [4 per cell]  2 Sb 2.02
O  0.1991  0.3752  0.5308 [16 per cell]  1 Sb 1.99

Values from the calculation:
Uncorrected energy: -6.368 eV per atom